A) First-principles (PBE-GGA) data for ZrScAu after structural relaxation, as listed in Alexandria.

a b c (Å): 6.327 3.402 6.442
angles (deg): 90.01 75.23 105.59
Atoms (fractional coordinates):
Sc 0.481 0.520 0.381
Sc 0.144 0.851 0.767
Au 0.826 0.192 0.059
Au 0.221 0.889 0.192
Zr 0.566 0.562 0.844
Zr 0.893 0.225 0.496

Spin magnetization = 0.00 μB/f.u.
SG = Cm, No. 8

B) First-principles (PBE-GGA) data for ZrScAu after structural relaxation, as listed in Alexandria.

a b c (Å): 4.927 3.248 8.043
angles (deg): 78.34 90.00 90.00
Atoms (fractional coordinates):
Sc 0.562 0.836 0.659
Sc 0.062 0.706 0.919
Au 0.062 0.055 0.220
Au 0.562 0.180 0.969
Zr 0.562 0.517 0.295
Zr 0.062 0.391 0.549

Spin magnetization = 0.00 μB/f.u.
SG = Amm2, No. 38

C) First-principles (PBE-GGA) data for ZrScAu after structural relaxation, as listed in Alexandria.

a b c (Å): 4.730 5.954 5.770
angles (deg): 63.57 114.22 113.43
Atoms (fractional coordinates):
Sc 0.840 0.357 0.566
Sc 0.125 0.310 0.182
Au 0.131 0.863 0.640
Au 0.454 0.254 0.898
Zr 0.746 0.750 0.983
Zr 0.456 0.800 0.355

Spin magnetization = 0.00 μB/f.u.
SG = Cm, No. 8

Energy above the most stable structure, in kJ/mol of atoms: A) 1.4; B) 0.0; C) 2.6

A) First-principles (PBE-GGA) data for ZrScAu after structural relaxation, as listed in Alexandria.

a b c (Å): 4.248 4.248 7.311
angles (deg): 90.00 90.00 90.00
Atoms (fractional coordinates):
Au 0.000 0.500 0.777
Au 0.500 0.000 0.223
Sc 0.000 0.500 0.144
Sc 0.500 0.000 0.856
Zr 0.500 0.500 0.500
Zr 0.000 0.000 0.500

Spin magnetization = 0.00 μB/f.u.
SG = P4/nmm, No. 129

B) First-principles (PBE-GGA) data for ZrScAu after structural relaxation, as listed in Alexandria.

a b c (Å): 5.036 3.329 8.335
angles (deg): 113.51 77.49 89.99
Atoms (fractional coordinates):
Sc 0.969 0.763 0.602
Sc 0.290 0.114 0.954
Au 0.092 0.950 0.289
Au 0.823 0.576 0.916
Zr 0.615 0.418 0.257
Zr 0.472 0.252 0.592

Spin magnetization = 0.00 μB/f.u.
SG = Pm, No. 6

Energy above the most stable structure, in kJ/mol of atoms: A) 0.0; B) 1.1

A) First-principles (PBE-GGA) data for ZrScAu after structural relaxation, as listed in Alexandria.

a b c (Å): 8.395 6.188 4.860
angles (deg): 90.00 90.00 90.00
Atoms (fractional coordinates):
Sc 0.000 0.000 0.000
Sc 0.500 0.500 0.500
Sc 0.500 0.000 0.500
Sc 0.000 0.500 0.000
Au 0.667 0.250 0.000
Au 0.833 0.750 0.500
Au 0.333 0.750 0.000
Au 0.167 0.250 0.500
Zr 0.334 0.250 0.000
Zr 0.166 0.750 0.500
Zr 0.666 0.750 0.000
Zr 0.834 0.250 0.500

Spin magnetization = 0.00 μB/f.u.
SG = Cmcm, No. 63

B) First-principles (PBE-GGA) data for ZrScAu after structural relaxation, as listed in Alexandria.

a b c (Å): 5.012 3.367 7.699
angles (deg): 102.64 88.70 90.01
Atoms (fractional coordinates):
Sc 0.426 0.222 0.762
Sc 0.380 0.910 0.138
Au 0.358 0.560 0.437
Au 0.954 0.724 0.765
Zr 0.885 0.379 0.076
Zr 0.869 0.057 0.432

Spin magnetization = 0.00 μB/f.u.
SG = Cm, No. 8

Energy above the most stable structure, in kJ/mol of atoms: A) 1.1; B) 0.0

A) First-principles (PBE-GGA) data for ZrScAu after structural relaxation, as listed in Alexandria.

a b c (Å): 4.303 4.303 7.079
angles (deg): 90.00 90.00 90.00
Atoms (fractional coordinates):
Sc 0.000 0.000 0.500
Sc 0.500 0.500 0.500
Au 0.000 0.500 0.761
Au 0.500 0.000 0.239
Zr 0.000 0.500 0.136
Zr 0.500 0.000 0.864

Spin magnetization = 0.00 μB/f.u.
SG = P4/nmm, No. 129

B) First-principles (PBE-GGA) data for ZrScAu after structural relaxation, as listed in Alexandria.

a b c (Å): 3.315 8.185 4.813
angles (deg): 72.92 90.00 90.02
Atoms (fractional coordinates):
Sc 0.820 0.912 0.217
Sc 0.819 0.199 0.573
Au 0.319 0.243 0.051
Au 0.320 0.868 0.739
Zr 0.319 0.556 0.395
Zr 0.819 0.556 0.895

Spin magnetization = 0.00 μB/f.u.
SG = Cmmm, No. 65

C) First-principles (PBE-GGA) data for ZrScAu after structural relaxation, as listed in Alexandria.

a b c (Å): 6.674 3.336 11.426
angles (deg): 90.00 90.00 90.00
Atoms (fractional coordinates):
Sc 0.879 0.250 0.403
Sc 0.621 0.750 0.903
Sc 0.121 0.750 0.597
Sc 0.379 0.250 0.097
Au 0.871 0.250 0.757
Au 0.629 0.750 0.257
Au 0.129 0.750 0.243
Au 0.371 0.250 0.743
Zr 0.374 0.250 0.413
Zr 0.126 0.750 0.913
Zr 0.626 0.750 0.587
Zr 0.874 0.250 0.087

Spin magnetization = 0.00 μB/f.u.
SG = Pnma, No. 62

Energy above the most stable structure, in kJ/mol of atoms: A) 7.1; B) 0.5; C) 0.0

A) First-principles (PBE-GGA) data for ZrScAu after structural relaxation, as listed in Alexandria.

a b c (Å): 3.456 7.870 4.737
angles (deg): 90.02 90.00 102.74
Atoms (fractional coordinates):
Sc 0.325 0.899 0.062
Sc 0.481 0.213 0.562
Au 0.989 0.229 0.062
Au 0.817 0.883 0.562
Zr 0.163 0.576 0.562
Zr 0.643 0.536 0.062

Spin magnetization = 0.00 μB/f.u.
SG = P2_1/m, No. 11

B) First-principles (PBE-GGA) data for ZrScAu after structural relaxation, as listed in Alexandria.

a b c (Å): 6.225 3.322 6.671
angles (deg): 90.00 74.06 105.49
Atoms (fractional coordinates):
Sc 0.734 0.966 0.678
Sc 0.353 0.275 0.026
Au 0.043 0.620 0.352
Au 0.043 0.621 0.852
Zr 0.721 0.959 0.183
Zr 0.366 0.282 0.520

Spin magnetization = 0.07 μB/f.u.
SG = P-1, No. 2

C) First-principles (PBE-GGA) data for ZrScAu after structural relaxation, as listed in Alexandria.

a b c (Å): 4.618 4.618 4.618
angles (deg): 60.00 60.00 60.00
Atoms (fractional coordinates):
Sc 0.250 0.250 0.250
Au 0.750 0.750 0.750
Zr 0.500 0.500 0.500

Spin magnetization = 0.00 μB/f.u.
SG = F-43m, No. 216

Energy above the most stable structure, in kJ/mol of atoms: A) 0.0; B) 2.3; C) 72.4

A) First-principles (PBE-GGA) data for ZrScAu after structural relaxation, as listed in Alexandria.

a b c (Å): 4.669 4.669 4.669
angles (deg): 60.00 60.00 60.00
Atoms (fractional coordinates):
Au 0.750 0.750 0.750
Sc 0.000 0.000 0.000
Zr 0.500 0.500 0.500

Spin magnetization = 0.00 μB/f.u.
SG = F-43m, No. 216

B) First-principles (PBE-GGA) data for ZrScAu after structural relaxation, as listed in Alexandria.

a b c (Å): 6.229 6.228 3.313
angles (deg): 74.58 74.58 30.85
Atoms (fractional coordinates):
Au 0.004 0.004 0.996
Sc 0.657 0.657 0.343
Zr 0.340 0.340 0.660

Spin magnetization = 0.00 μB/f.u.
SG = I4mm, No. 107

Energy above the most stable structure, in kJ/mol of atoms: A) 23.8; B) 0.0

A) First-principles (PBE-GGA) data for ZrSc2Au after structural relaxation, as listed in Alexandria.

a b c (Å): 10.635 10.635 10.635
angles (deg): 17.14 17.14 17.14
Atoms (fractional coordinates):
Sc 0.904 0.904 0.904
Sc 0.096 0.096 0.096
Au 0.500 0.500 0.500
Zr 0.000 0.000 0.000

Spin magnetization = 0.00 μB/f.u.
SG = R-3m, No. 166

B) First-principles (PBE-GGA) data for ZrSc2Au after structural relaxation, as listed in Alexandria.

a b c (Å): 5.891 5.891 5.891
angles (deg): 145.51 130.82 61.45
Atoms (fractional coordinates):
Au 0.750 0.250 0.500
Sc 0.976 0.976 0.000
Sc 0.524 0.524 0.000
Zr 0.250 0.750 0.500

Spin magnetization = 0.00 μB/f.u.
SG = Immm, No. 71

Energy above the most stable structure, in kJ/mol of atoms: A) 32.1; B) 0.0

A) First-principles (PBE-GGA) data for Zr2Sc2Au after structural relaxation, as listed in Alexandria.

a b c (Å): 7.088 7.088 4.555
angles (deg): 90.00 90.00 90.00
Atoms (fractional coordinates):
Sc 0.350 0.850 0.000
Sc 0.850 0.650 0.000
Sc 0.650 0.150 0.000
Sc 0.150 0.350 0.000
Au 0.000 0.000 0.000
Au 0.500 0.500 0.000
Zr 0.150 0.650 0.500
Zr 0.650 0.850 0.500
Zr 0.850 0.350 0.500
Zr 0.350 0.150 0.500

Spin magnetization = 0.00 μB/f.u.
SG = P4/mbm, No. 127

B) First-principles (PBE-GGA) data for Zr2Sc2Au after structural relaxation, as listed in Alexandria.

a b c (Å): 7.181 7.181 4.620
angles (deg): 90.00 90.00 90.00
Atoms (fractional coordinates):
Sc 0.154 0.654 0.500
Sc 0.654 0.846 0.500
Sc 0.846 0.346 0.500
Sc 0.346 0.154 0.500
Au 0.000 0.000 0.000
Au 0.500 0.500 0.000
Zr 0.356 0.856 0.000
Zr 0.856 0.644 0.000
Zr 0.644 0.144 0.000
Zr 0.144 0.356 0.000

Spin magnetization = 0.00 μB/f.u.
SG = P4/mbm, No. 127

Energy above the most stable structure, in kJ/mol of atoms: A) 0.0; B) 5.8